Entry 1:
Computed, not measured: an optimized crystal structure of SmTmAs2 at the GGA-PBE level of DFT.

The structure in CIF format:
```
data_SmTmAs2
_cell_length_a 4.1061
_cell_length_b 4.1061
_cell_length_c 21.1184
_cell_angle_alpha 90.00
_cell_angle_beta 90.00
_cell_angle_gamma 120.00
_symmetry_space_group_name_H-M 'R 3 m'
_symmetry_Int_Tables_number 160
_symmetry_space_group_name_Hall 'R 3 -2"'
loop_
_atom_site_label
_atom_site_type_symbol
_atom_site_fract_x
_atom_site_fract_y
_atom_site_fract_z
_atom_site_occupancy
Sm1 Sm 0.0000 0.0000 0.0000 1
Tm1 Tm 0.0000 0.0000 0.1713 1
As1 As 0.0000 0.0000 0.4211 1
As2 As 0.0000 0.0000 0.5842 1
```

Results
- Calculated volume: 25.7 A^3/atom
- Formation energy from the elements: -130.1 kJ per mole of atoms
- Crystal system: trigonal
- Energy above the most stable polymorph in this dataset: 164 meV/atom

***

Entry 2:
Computed, not measured: an optimized crystal structure of SmTm2As3 at the GGA-PBE level of DFT.

The structure in CIF format:
```
data_SmTm2As3
_cell_length_a 4.1164
_cell_length_b 5.8254
_cell_length_c 12.3370
_cell_angle_alpha 90.00
_cell_angle_beta 90.00
_cell_angle_gamma 90.00
_symmetry_space_group_name_H-M 'I m m m'
_symmetry_Int_Tables_number 71
_symmetry_space_group_name_Hall '-I 2 2'
loop_
_atom_site_label
_atom_site_type_symbol
_atom_site_fract_x
_atom_site_fract_y
_atom_site_fract_z
_atom_site_occupancy
Sm1 Sm 0.0000 0.0000 0.0000 1
Tm1 Tm 0.0000 0.0000 0.3343 1
As1 As 0.0000 0.5000 0.0000 1
As2 As 0.0000 0.5000 0.3283 1
```

Results
- Calculated volume: 24.7 A^3/atom
- Formation energy from the elements: -145.1 kJ per mole of atoms
- Crystal system: orthorhombic

***

Entry 3:
Computed, not measured: an optimized crystal structure of Sm5Tm3As8 at the GGA-PBE level of DFT.

The structure in CIF format:
```
data_Sm5Tm3As8
_cell_length_a 8.3179
_cell_length_b 8.3179
_cell_length_c 20.3682
_cell_angle_alpha 90.00
_cell_angle_beta 90.00
_cell_angle_gamma 120.00
_symmetry_space_group_name_H-M 'R -3 m'
_symmetry_Int_Tables_number 166
_symmetry_space_group_name_Hall '-R 3 2"'
loop_
_atom_site_label
_atom_site_type_symbol
_atom_site_fract_x
_atom_site_fract_y
_atom_site_fract_z
_atom_site_occupancy
Sm1 Sm 0.0000 0.0000 0.0000 1
Sm2 Sm 0.0000 0.0000 0.5000 1
Sm3 Sm 0.0000 0.5000 0.0000 1
Tm1 Tm 0.0000 0.5000 0.5000 1
As1 As 0.0000 0.0000 0.2469 1
As2 As 0.0042 0.5021 0.7521 1
```

Results
- Calculated volume: 25.4 A^3/atom
- Formation energy from the elements: -145.9 kJ per mole of atoms
- Crystal system: trigonal

***

Entry 4:
Computed, not measured: an optimized crystal structure of SmTm2As at the GGA-PBE level of DFT.

The structure in CIF format:
```
data_SmTm2As
_cell_length_a 3.8076
_cell_length_b 3.8076
_cell_length_c 28.1847
_cell_angle_alpha 90.00
_cell_angle_beta 90.00
_cell_angle_gamma 120.00
_symmetry_space_group_name_H-M 'R -3 m'
_symmetry_Int_Tables_number 166
_symmetry_space_group_name_Hall '-R 3 2"'
loop_
_atom_site_label
_atom_site_type_symbol
_atom_site_fract_x
_atom_site_fract_y
_atom_site_fract_z
_atom_site_occupancy
Sm1 Sm 0.0000 0.0000 0.0000 1
Tm1 Tm 0.0000 0.0000 0.2276 1
As1 As 0.0000 0.0000 0.5000 1
```

Results
- Calculated volume: 29.5 A^3/atom
- Formation energy from the elements: -57.1 kJ per mole of atoms
- Crystal system: trigonal

***

Entry 5:
Computed, not measured: an optimized crystal structure of Sm2TmAs3 at the GGA-PBE level of DFT.

The structure in CIF format:
```
data_Sm2TmAs3
_cell_length_a 4.1686
_cell_length_b 4.1686
_cell_length_c 17.6700
_cell_angle_alpha 90.00
_cell_angle_beta 90.00
_cell_angle_gamma 90.00
_symmetry_space_group_name_H-M 'I 4/m m m'
_symmetry_Int_Tables_number 139
_symmetry_space_group_name_Hall '-I 4 2'
loop_
_atom_site_label
_atom_site_type_symbol
_atom_site_fract_x
_atom_site_fract_y
_atom_site_fract_z
_atom_site_occupancy
Sm1 Sm 0.0000 0.0000 0.1663 1
Tm1 Tm 0.0000 0.0000 0.5000 1
As1 As 0.0000 0.0000 0.0000 1
As2 As 0.0000 0.0000 0.3359 1
```

Results
- Calculated volume: 25.6 A^3/atom
- Formation energy from the elements: -145.5 kJ per mole of atoms
- Crystal system: tetragonal

***

Entry 6:
Computed, not measured: an optimized crystal structure of Sm4TmAs5 at the GGA-PBE level of DFT.

The structure in CIF format:
```
data_Sm4TmAs5
_cell_length_a 4.1876
_cell_length_b 4.1876
_cell_length_c 29.5796
_cell_angle_alpha 90.00
_cell_angle_beta 90.00
_cell_angle_gamma 90.00
_symmetry_space_group_name_H-M 'I 4/m m m'
_symmetry_Int_Tables_number 139
_symmetry_space_group_name_Hall '-I 4 2'
loop_
_atom_site_label
_atom_site_type_symbol
_atom_site_fract_x
_atom_site_fract_y
_atom_site_fract_z
_atom_site_occupancy
Sm1 Sm 0.0000 0.0000 0.0991 1
Sm2 Sm 0.0000 0.0000 0.3007 1
Tm1 Tm 0.0000 0.0000 0.5000 1
As1 As 0.0000 0.0000 0.0000 1
As2 As 0.0000 0.0000 0.1998 1
As3 As 0.0000 0.0000 0.4020 1
```

Results
- Calculated volume: 25.9 A^3/atom
- Formation energy from the elements: -146.3 kJ per mole of atoms
- Crystal system: tetragonal

***

Entry 7:
Computed, not measured: an optimized crystal structure of SmTmAs2 at the GGA-PBE level of DFT.

The structure in CIF format:
```
data_SmTmAs2
_cell_length_a 4.1428
_cell_length_b 4.1428
_cell_length_c 20.2528
_cell_angle_alpha 90.00
_cell_angle_beta 90.00
_cell_angle_gamma 120.00
_symmetry_space_group_name_H-M 'R -3 m'
_symmetry_Int_Tables_number 166
_symmetry_space_group_name_Hall '-R 3 2"'
loop_
_atom_site_label
_atom_site_type_symbol
_atom_site_fract_x
_atom_site_fract_y
_atom_site_fract_z
_atom_site_occupancy
Sm1 Sm 0.0000 0.0000 0.0000 1
Tm1 Tm 0.0000 0.0000 0.5000 1
As1 As 0.0000 0.0000 0.2468 1
```

Results
- Calculated volume: 25.1 A^3/atom
- Formation energy from the elements: -145.8 kJ per mole of atoms
- Crystal system: trigonal
- Energy above the most stable polymorph in this dataset: 0 meV/atom

***

Entry 8:
Computed, not measured: an optimized crystal structure of Sm5TmAs6 at the GGA-PBE level of DFT.

The structure in CIF format:
```
data_Sm5TmAs6
_cell_length_a 7.2613
_cell_length_b 12.5716
_cell_length_c 7.2583
_cell_angle_alpha 90.00
_cell_angle_beta 109.49
_cell_angle_gamma 90.00
_symmetry_space_group_name_H-M 'C 1 2/m 1'
_symmetry_Int_Tables_number 12
loop_
_symmetry_equiv_pos_as_xyz
'x,y,z'
'-x,-y,-z'
'-x,y,-z'
'x,-y,z'
'x+1/2,y+1/2,z'
'-x+1/2,-y+1/2,-z'
'-x+1/2,y+1/2,-z'
'x+1/2,-y+1/2,z'
loop_
_atom_site_label
_atom_site_type_symbol
_atom_site_fract_x
_atom_site_fract_y
_atom_site_fract_z
_atom_site_occupancy
Sm1 Sm 0.0000 0.0000 0.0000 1
Sm2 Sm 0.0000 0.1663 0.5000 1
Sm3 Sm 0.0000 0.3322 0.0000 1
Tm1 Tm 0.0000 0.5000 0.5000 1
As1 As 0.2463 0.3358 0.7465 1
As2 As 0.2458 0.5000 0.2526 1
```

Results
- Calculated volume: 26.0 A^3/atom
- Formation energy from the elements: -146.6 kJ per mole of atoms
- Crystal system: monoclinic